1.
The following is a DFT calculation (PBE-GGA) of a relaxed structure of BePO4.

Properties
The space group is P-42c (112). Its density of states at the Fermi level is 5.2 states/eV per cell. As for the electronic total energy: -6.78 eV per atom. The calculation puts the formation energy without anion corrections at -188 kJ/mol of atoms.

Cell and atoms, written as CIF:
```
data_BePO4
_cell_length_a 4.187
_cell_length_b 4.187
_cell_length_c 7.455
_cell_angle_alpha 90.00
_cell_angle_beta 90.00
_cell_angle_gamma 90.00
_symmetry_space_group_name_H-M 'P 1'
_symmetry_Int_Tables_number 1
_symmetry_space_group_name_Hall 'P 1'
loop_
_atom_site_label
_atom_site_type_symbol
_atom_site_fract_x
_atom_site_fract_y
_atom_site_fract_z
O1 O 0.730 0.813 0.874
O2 O 0.187 0.730 0.126
O3 O 0.270 0.813 0.626
O4 O 0.730 0.187 0.626
O5 O 0.187 0.270 0.374
O6 O 0.813 0.730 0.374
O7 O 0.813 0.270 0.126
O8 O 0.270 0.187 0.874
Be1 Be 0.000 0.000 0.500
Be2 Be 0.000 0.000 0.000
P1 P 0.500 0.000 0.750
P2 P 0.000 0.500 0.250
```

=====

2.
The following is a DFT calculation (PBE-GGA) of a relaxed structure of KI.

Properties
The space group is Pm-3m (221). Its density of states at the Fermi level is 0.0 states/eV per cell. As for the electronic total energy: -2.74 eV per atom. The calculation puts the formation energy without anion corrections at -137 kJ/mol of atoms.

Cell and atoms, written as CIF:
```
data_KI
_cell_length_a 4.332
_cell_length_b 4.332
_cell_length_c 4.332
_cell_angle_alpha 90.00
_cell_angle_beta 90.00
_cell_angle_gamma 90.00
_symmetry_space_group_name_H-M 'P 1'
_symmetry_Int_Tables_number 1
_symmetry_space_group_name_Hall 'P 1'
loop_
_atom_site_label
_atom_site_type_symbol
_atom_site_fract_x
_atom_site_fract_y
_atom_site_fract_z
K1 K 0.000 0.000 0.000
I1 I 0.500 0.500 0.500
```

=====

3.
The following is a DFT calculation (PBE-GGA) of a relaxed structure of LaCuBiAu.

Properties
The space group is F-43m (216). For the energy of formation from the pure elements, the calculation gives -441 meV/atom. Its density of states at the Fermi level is 1.8 states/eV per cell. As for the electronic total energy: -4.49 eV per atom.

Cell and atoms, written as CIF:
```
data_LaCuBiAu
_cell_length_a 5.134
_cell_length_b 5.134
_cell_length_c 5.134
_cell_angle_alpha 60.00
_cell_angle_beta 60.00
_cell_angle_gamma 60.00
_symmetry_space_group_name_H-M 'P 1'
_symmetry_Int_Tables_number 1
_symmetry_space_group_name_Hall 'P 1'
loop_
_atom_site_label
_atom_site_type_symbol
_atom_site_fract_x
_atom_site_fract_y
_atom_site_fract_z
Cu1 Cu 0.250 0.250 0.250
Au1 Au 0.750 0.750 0.750
Bi1 Bi 0.500 0.500 0.500
La1 La 0.000 0.000 0.000
```

=====

4.
The following is a DFT calculation (PBE-GGA) of a relaxed structure of AcTeH.

Properties
The space group is C2/m (12). Its density of states at the Fermi level is 1.8 states/eV per cell. As for the electronic total energy: -4.24 eV per atom.

Cell and atoms, written as CIF:
```
data_AcTeH
_cell_length_a 4.938
_cell_length_b 4.938
_cell_length_c 7.802
_cell_angle_alpha 70.00
_cell_angle_beta 70.00
_cell_angle_gamma 85.55
_symmetry_space_group_name_H-M 'P 1'
_symmetry_Int_Tables_number 1
_symmetry_space_group_name_Hall 'P 1'
loop_
_atom_site_label
_atom_site_type_symbol
_atom_site_fract_x
_atom_site_fract_y
_atom_site_fract_z
Ac1 Ac 0.247 0.187 0.422
Ac2 Ac 0.561 0.501 0.795
Te1 Te 0.904 0.345 0.109
Te2 Te 0.404 0.844 0.109
H1 H 0.155 0.594 0.609
H2 H 0.654 0.095 0.608
```

=====

5.
The following is a DFT calculation (PBE-GGA) of a relaxed structure of SnSeI.

Properties
The space group is P2_1/m (11). Its density of states at the Fermi level is 4.0 states/eV per cell. As for the electronic total energy: -3.35 eV per atom. The calculation puts the formation energy without anion corrections at -33 kJ/mol of atoms.

Cell and atoms, written as CIF:
```
data_SnSeI
_cell_length_a 4.113
_cell_length_b 5.696
_cell_length_c 9.891
_cell_angle_alpha 89.98
_cell_angle_beta 65.41
_cell_angle_gamma 90.00
_symmetry_space_group_name_H-M 'P 1'
_symmetry_Int_Tables_number 1
_symmetry_space_group_name_Hall 'P 1'
loop_
_atom_site_label
_atom_site_type_symbol
_atom_site_fract_x
_atom_site_fract_y
_atom_site_fract_z
I1 I 0.895 0.750 0.854
I2 I 0.105 0.250 0.146
Sn1 Sn 0.647 0.750 0.601
Sn2 Sn 0.353 0.250 0.399
Se1 Se 0.632 0.250 0.619
Se2 Se 0.368 0.750 0.381
```

=====

6.
The following is a DFT calculation (PBE-GGA) of a relaxed structure of SiAsBr2F.

Properties
The space group is P4/mmm (123). Its density of states at the Fermi level is 3.5 states/eV per cell. As for the electronic total energy: -2.96 eV per atom. The calculation puts the formation energy without anion corrections at 9 kJ/mol of atoms.

Cell and atoms, written as CIF:
```
data_SiAsBr2F
_cell_length_a 5.665
_cell_length_b 3.691
_cell_length_c 5.665
_cell_angle_alpha 90.00
_cell_angle_beta 90.00
_cell_angle_gamma 90.00
_symmetry_space_group_name_H-M 'P 1'
_symmetry_Int_Tables_number 1
_symmetry_space_group_name_Hall 'P 1'
loop_
_atom_site_label
_atom_site_type_symbol
_atom_site_fract_x
_atom_site_fract_y
_atom_site_fract_z
Si1 Si 0.000 0.500 0.000
Br1 Br 0.500 0.000 0.000
Br2 Br 0.000 0.000 0.500
F1 F 0.000 0.000 0.000
As1 As 0.500 0.500 0.500
```